CsNbCS after structural relaxation. Source: Alexandria via LeMat-Bulk, functional PBE.

Results
Energy above the most stable polymorph in this dataset (kJ/mol of atoms): 0.29
Raw formation energy (kJ/mol of atoms): -20.2

```
data_CsNbCS
_chemical_formula_sum 'Cs3 Nb3 C3 S3'
_cell_length_a 3.4799
_cell_length_b 3.4799
_cell_length_c 23.3869
_cell_angle_alpha 90.00
_cell_angle_beta 90.00
_cell_angle_gamma 120.00
_symmetry_space_group_name_H-M 'R 3 m'
_symmetry_Int_Tables_number 160
_symmetry_space_group_name_Hall 'R 3 -2"'
loop_
_atom_site_label
_atom_site_type_symbol
_atom_site_fract_x
_atom_site_fract_y
_atom_site_fract_z
Cs1 Cs 0.0000 0.0000 0.0000
Nb1 Nb 0.0000 0.0000 0.5212
C1 C 0.0000 0.0000 0.2238
S1 S 0.0000 0.0000 0.7835
```

***

La2CdSe after structural relaxation. Source: Alexandria via LeMat-Bulk, functional PBE.

Results
Energy above the most stable polymorph in this dataset (kJ/mol of atoms): 5.81
Raw formation energy (kJ/mol of atoms): -95.8

```
data_La2CdSe
_chemical_formula_sum 'La2 Cd1 Se1'
_cell_length_a 4.421
_cell_length_b 4.477
_cell_length_c 6.353
_cell_angle_alpha 90.00
_cell_angle_beta 90.00
_cell_angle_gamma 90.00
_symmetry_space_group_name_H-M 'P m m m'
_symmetry_Int_Tables_number 47
loop_
_symmetry_equiv_pos_as_xyz
'x,y,z'
'-x,-y,-z'
'-x,-y,z'
'x,y,-z'
'x,-y,-z'
'-x,y,z'
'-x,y,-z'
'x,-y,z'
loop_
_atom_site_label
_atom_site_type_symbol
_atom_site_fract_x
_atom_site_fract_y
_atom_site_fract_z
La1 La 0.000 0.000 0.000
La2 La 0.500 0.500 0.500
Cd1 Cd 0.000 0.000 0.500
Se1 Se 0.500 0.500 0.000
```

***

BaTcS2 after structural relaxation. Source: Alexandria via LeMat-Bulk, functional PBE.

Results
Energy above the most stable polymorph in this dataset (kJ/mol of atoms): 0.46
Raw formation energy (kJ/mol of atoms): -107.3

```
data_BaTcS2
_chemical_formula_sum 'Ba4 Tc4 S8'
_cell_length_a 12.536
_cell_length_b 9.180
_cell_length_c 4.463
_cell_angle_alpha 90.00
_cell_angle_beta 100.93
_cell_angle_gamma 90.00
_symmetry_space_group_name_H-M 'C 1 2/m 1'
_symmetry_Int_Tables_number 12
loop_
_symmetry_equiv_pos_as_xyz
'x,y,z'
'-x,-y,-z'
'-x,y,-z'
'x,-y,z'
'x+1/2,y+1/2,z'
'-x+1/2,-y+1/2,-z'
'-x+1/2,y+1/2,-z'
'x+1/2,-y+1/2,z'
loop_
_atom_site_label
_atom_site_type_symbol
_atom_site_fract_x
_atom_site_fract_y
_atom_site_fract_z
Ba1 Ba 0.250 0.250 0.000
Tc1 Tc 0.049 0.000 0.314
S1 S 0.000 0.200 0.000
S2 S 0.239 0.000 0.503
```

***

LaPm3Dy8 after structural relaxation. Source: Alexandria via LeMat-Bulk, functional PBE.

Results
Energy of formation (meV per atom): 298

```
data_LaPm3Dy8
_chemical_formula_sum 'La2 Pm6 Dy16'
_cell_length_a 6.421
_cell_length_b 11.490
_cell_length_c 11.490
_cell_angle_alpha 90.00
_cell_angle_beta 90.00
_cell_angle_gamma 90.00
_symmetry_space_group_name_H-M 'I m m m'
_symmetry_Int_Tables_number 71
_symmetry_space_group_name_Hall '-I 2 2'
loop_
_atom_site_label
_atom_site_type_symbol
_atom_site_fract_x
_atom_site_fract_y
_atom_site_fract_z
La1 La 0.000 0.000 0.000
Pm1 Pm 0.000 0.247 0.500
Pm2 Pm 0.000 0.500 0.000
Dy1 Dy 0.000 0.250 0.173
Dy2 Dy 0.248 0.000 0.253
```

***

K2PrPu3O12 after structural relaxation. Source: Alexandria via LeMat-Bulk, functional PBE.

Results
Raw formation energy (kJ/mol of atoms): -242.3

```
data_K2PrPu3O12
_chemical_formula_sum 'K6 Pr3 Pu9 O36'
_cell_length_a 8.1398
_cell_length_b 8.1398
_cell_length_c 15.9341
_cell_angle_alpha 90.00
_cell_angle_beta 90.00
_cell_angle_gamma 120.00
_symmetry_space_group_name_H-M 'R -3 m'
_symmetry_Int_Tables_number 166
_symmetry_space_group_name_Hall '-R 3 2"'
loop_
_atom_site_label
_atom_site_type_symbol
_atom_site_fract_x
_atom_site_fract_y
_atom_site_fract_z
K1 K 0.0000 0.0000 0.1122
Pr1 Pr 0.0000 0.0000 0.5000
Pu1 Pu 0.0000 0.5000 0.0000
O1 O 0.0417 0.5209 0.8842
O2 O 0.0991 0.5496 0.3025
```

***

La6CoRh2 after structural relaxation. Source: Alexandria via LeMat-Bulk, functional PBE.

Results
Energy of formation (meV per atom): -422

```
data_La6CoRh2
_chemical_formula_sum 'La12 Co2 Rh4'
_cell_length_a 6.839
_cell_length_b 7.472
_cell_length_c 12.155
_cell_angle_alpha 90.00
_cell_angle_beta 121.22
_cell_angle_gamma 90.00
_symmetry_space_group_name_H-M 'P 1 21/c 1'
_symmetry_Int_Tables_number 14
loop_
_symmetry_equiv_pos_as_xyz
'x,y,z'
'-x,-y,-z'
'-x,y+1/2,-z+1/2'
'x,-y+1/2,z+1/2'
loop_
_atom_site_label
_atom_site_type_symbol
_atom_site_fract_x
_atom_site_fract_y
_atom_site_fract_z
La1 La 0.084 0.057 0.247
La2 La 0.250 0.684 0.078
La3 La 0.387 0.177 0.066
Co1 Co 0.000 0.000 0.000
Rh1 Rh 0.324 0.113 0.777
```

***

TaPtCl3 after structural relaxation. Source: Alexandria via LeMat-Bulk, functional PBE.

Results
Energy above the most stable polymorph in this dataset (kJ/mol of atoms): 0.00
Raw formation energy (kJ/mol of atoms): 27.4

```
data_TaPtCl3
_chemical_formula_sum 'Ta1 Pt1 Cl3'
_cell_length_a 4.800
_cell_length_b 4.800
_cell_length_c 4.800
_cell_angle_alpha 90.00
_cell_angle_beta 90.00
_cell_angle_gamma 90.00
_symmetry_space_group_name_H-M 'P m -3 m'
_symmetry_Int_Tables_number 221
_symmetry_space_group_name_Hall '-P 4 2 3'
loop_
_atom_site_label
_atom_site_type_symbol
_atom_site_fract_x
_atom_site_fract_y
_atom_site_fract_z
Ta1 Ta 0.000 0.000 0.000
Pt1 Pt 0.500 0.500 0.500
Cl1 Cl 0.000 0.000 0.500
```

***

CdHg after structural relaxation. Source: Alexandria via LeMat-Bulk, functional PBE.

Results
Energy of formation (meV per atom): 57

```
data_CdHg
_chemical_formula_sum 'Cd6 Hg6'
_cell_length_a 4.8756
_cell_length_b 4.8756
_cell_length_c 15.5305
_cell_angle_alpha 90.00
_cell_angle_beta 90.00
_cell_angle_gamma 120.00
_symmetry_space_group_name_H-M 'R -3 m'
_symmetry_Int_Tables_number 166
_symmetry_space_group_name_Hall '-R 3 2"'
loop_
_atom_site_label
_atom_site_type_symbol
_atom_site_fract_x
_atom_site_fract_y
_atom_site_fract_z
Cd1 Cd 0.0000 0.0000 0.1960
Hg1 Hg 0.0000 0.0000 0.3909
```